The following is a PBE-GGA calculation of crystalline Tb2CeTc at its relaxed geometry, from the Alexandria database.

- SG: Pnma (62)
- ΔE to the lowest computed polymorph: 0.0 kJ per mole of atoms
- DFT formation energy: -166 meV/atom

Cell: 7.162 9.652 6.342 Å, 90.00 90.00 90.00°
Element x y z (fractional)
Tb: 0.177 0.065 0.171
Tb: 0.177 0.435 0.171
Tb: 0.323 0.565 0.671
Tb: 0.323 0.935 0.671
Tb: 0.677 0.065 0.329
Tb: 0.677 0.435 0.329
Tb: 0.823 0.565 0.829
Tb: 0.823 0.935 0.829
Ce: 0.055 0.250 0.643
Ce: 0.445 0.750 0.143
Ce: 0.555 0.250 0.857
Ce: 0.945 0.750 0.357
Tc: 0.136 0.750 0.003
Tc: 0.364 0.250 0.503
Tc: 0.636 0.750 0.497
Tc: 0.864 0.250 0.997



The following is a PBE-GGA calculation of crystalline TbCe2Tc9 at its relaxed geometry, from the Alexandria database.

- SG: P-1 (2)
- DFT formation energy: 0 meV/atom

Cell: 5.133 5.352 9.233 Å, 89.93 75.72 63.97°
Element x y z (fractional)
Tb: 0.000 0.000 0.000
Ce: 0.288 0.860 0.568
Ce: 0.712 0.140 0.432
Tc: 0.000 0.500 0.500
Tc: 0.163 0.416 0.747
Tc: 0.303 0.370 0.011
Tc: 0.342 0.598 0.247
Tc: 0.344 0.076 0.236
Tc: 0.656 0.924 0.764
Tc: 0.658 0.402 0.753
Tc: 0.697 0.630 0.989
Tc: 0.837 0.584 0.253



The following is a PBE-GGA calculation of crystalline TbCeThTc at its relaxed geometry, from the Alexandria database.

- SG: Cm (8)
- DFT formation energy: 53 meV/atom

Cell: 5.735 5.114 7.712 Å, 90.00 100.34 90.00°
Element x y z (fractional)
Tb: 0.000 0.000 0.000
Tb: 0.500 0.500 0.000
Ce: 0.077 0.500 0.319
Ce: 0.577 0.000 0.319
Th: 0.432 0.000 0.707
Th: 0.932 0.500 0.707
Tc: 0.438 0.500 0.525
Tc: 0.938 0.000 0.525



The following is a PBE-GGA calculation of crystalline TbCeTlTc at its relaxed geometry, from the Alexandria database.

- SG: P4mm (99)
- DFT formation energy: -191 meV/atom

Cell: 3.418 3.418 8.451 Å, 90.00 90.00 90.00°
Element x y z (fractional)
Tb: 0.000 0.000 0.000
Ce: 0.000 0.000 0.597
Tl: 0.500 0.500 0.293
Tc: 0.500 0.500 0.788



The following is a PBE-GGA calculation of crystalline TbCeYTc at its relaxed geometry, from the Alexandria database.

- SG: R3m (160)
- DFT formation energy: 121 meV/atom

Cell: 4.455 4.455 19.606 Å, 90.00 90.00 120.00°
Element x y z (fractional)
Tb: 0.000 0.000 0.000
Tb: 0.333 0.667 0.667
Tb: 0.667 0.333 0.333
Ce: 0.000 0.000 0.768
Ce: 0.333 0.667 0.434
Ce: 0.667 0.333 0.101
Y: 0.000 0.000 0.211
Y: 0.333 0.667 0.878
Y: 0.667 0.333 0.545
Tc: 0.000 0.000 0.422
Tc: 0.333 0.667 0.089
Tc: 0.667 0.333 0.756



The following is a PBE-GGA calculation of crystalline TbCeZnTc at its relaxed geometry, from the Alexandria database.

- SG: F-43m (216)
- DFT formation energy: -115 meV/atom

Cell: 7.028 7.028 7.028 Å, 90.00 90.00 90.00°
Element x y z (fractional)
Tb: 0.000 0.000 0.000
Tb: 0.000 0.500 0.500
Tb: 0.500 0.000 0.500
Tb: 0.500 0.500 0.000
Ce: 0.000 0.000 0.500
Ce: 0.000 0.500 0.000
Ce: 0.500 0.000 0.000
Ce: 0.500 0.500 0.500
Zn: 0.250 0.250 0.750
Zn: 0.250 0.750 0.250
Zn: 0.750 0.250 0.250
Zn: 0.750 0.750 0.750
Tc: 0.250 0.250 0.250
Tc: 0.250 0.750 0.750
Tc: 0.750 0.250 0.750
Tc: 0.750 0.750 0.250



The following is a PBE-GGA calculation of crystalline TbCe4Te5 at its relaxed geometry, from the Alexandria database.

- SG: I4/mmm (139)
- Formation energy (no corrections): -355 meV per atom

Cell: 22.744 22.744 22.744 Å, 169.44 169.44 14.96°
Element x y z (fractional)
Tb: 0.000 0.000 0.000
Ce: 0.077 0.077 0.000
Ce: 0.374 0.374 0.000
Ce: 0.626 0.626 0.000
Ce: 0.923 0.923 0.000
Te: 0.149 0.149 0.000
Te: 0.241 0.241 0.000
Te: 0.500 0.500 0.000
Te: 0.759 0.759 0.000
Te: 0.851 0.851 0.000



The following is a PBE-GGA calculation of crystalline TbCeTe3 at its relaxed geometry, from the Alexandria database.

- SG: Pnma (62)
- ΔE to the lowest computed polymorph: 0.0 kJ per mole of atoms
- Formation energy (no corrections): -1387 meV per atom

Cell: 8.313 4.427 17.309 Å, 90.00 90.00 90.00°
Element x y z (fractional)
Tb: 0.231 0.250 0.043
Tb: 0.269 0.750 0.543
Tb: 0.731 0.250 0.457
Tb: 0.769 0.750 0.957
Ce: 0.133 0.750 0.298
Ce: 0.367 0.250 0.798
Ce: 0.633 0.750 0.202
Ce: 0.867 0.250 0.702
Te: 0.004 0.750 0.107
Te: 0.120 0.250 0.436
Te: 0.155 0.750 0.717
Te: 0.345 0.250 0.217
Te: 0.380 0.750 0.936
Te: 0.496 0.250 0.607
Te: 0.504 0.750 0.393
Te: 0.620 0.250 0.064
Te: 0.655 0.750 0.783
Te: 0.845 0.250 0.283
Te: 0.880 0.750 0.564
Te: 0.996 0.250 0.893